[1]
The following is a PBE calculation of a relaxed structure of Nb2SiSb, from Alexandria via LeMat-Bulk.

```
Nb2SiSb
1.0
-0.580 -3.783 -1.274
1.977 -1.391 3.229
-7.636 -2.971 5.915
Sb Nb Si
2 4 2
direct
0.000 0.000 0.000
0.750 0.250 0.500
0.610 0.125 0.250
0.140 0.625 0.250
0.375 0.390 0.750
0.875 0.860 0.750
0.500 0.500 0.000
0.250 0.750 0.500
```

Its symmetry is No. 122. Its total energy is -7.1828 eV/atom. As for the uncorrected formation energy: 0.2384 eV/atom. The calculation puts the relative energy among the computed polymorphs at 303 meV per atom.

***

[2]
The following is a PBE calculation of a relaxed structure of Cd3Pt4, from Alexandria via LeMat-Bulk.

```
Cd3Pt4
1.0
-1.728 1.728 10.351
1.728 -1.728 10.351
1.728 1.728 -10.351
Cd Pt
3 4
direct
0.000 0.000 0.000
0.292 0.292 0.000
0.708 0.708 0.000
0.142 0.142 0.000
0.430 0.430 0.000
0.570 0.570 0.000
0.858 0.858 0.000
```

Its symmetry is No. 139. Its total energy is -3.9527 eV/atom. The calculation puts the relative energy among the computed polymorphs at 0 meV per atom.

***

[3]
The following is a PBE calculation of a relaxed structure of Ba2TcSb, from Alexandria via LeMat-Bulk.

```
Ba2TcSb
1.0
6.701 -0.028 0.027
5.276 4.132 0.027
2.176 0.746 4.911
Ba Sb Tc
2 1 1
direct
0.988 0.988 0.012
0.776 0.776 0.724
0.557 0.557 0.443
0.179 0.179 0.321
```

Its symmetry is No. 44. Its total energy is -4.5011 eV/atom. As for the uncorrected formation energy: 0.0823 eV/atom.

***

[4]
The following is a PBE calculation of a relaxed structure of Ba2HS, from Alexandria via LeMat-Bulk.

```
Ba2HS
1.0
-6.891 -0.231 -3.207
1.046 -7.333 -1.720
-4.635 -4.908 1.298
H S Ba
2 2 4
direct
0.500 0.500 0.000
0.250 0.750 0.500
0.000 0.000 0.000
0.750 0.250 0.500
0.587 0.125 0.250
0.163 0.625 0.250
0.375 0.413 0.750
0.875 0.837 0.750
```

Its symmetry is No. 122. Its total energy is -3.8595 eV/atom. The calculation puts the relative energy among the computed polymorphs at 98 meV per atom.

***

[5]
The following is a PBE calculation of a relaxed structure of Rb4LiI2, from Alexandria via LeMat-Bulk.

```
Rb4LiI2
1.0
6.932 0.000 0.000
0.000 6.932 0.000
3.466 3.466 9.619
I Rb Li
2 4 1
direct
0.615 0.615 0.770
0.385 0.385 0.230
0.799 0.799 0.401
0.201 0.201 0.599
0.000 0.500 0.000
0.500 0.000 0.000
0.000 0.000 0.000
```

Its symmetry is No. 139. Its total energy is -1.8353 eV/atom. As for the uncorrected formation energy: -0.5662 eV/atom.

***

[6]
The following is a PBE calculation of a relaxed structure of Tl4ZnIr, from Alexandria via LeMat-Bulk.

```
Tl4ZnIr
1.0
3.996 -4.558 0.838
-0.327 -5.032 -3.467
4.307 -1.104 -4.204
Tl Zn Ir
4 1 1
direct
0.877 0.374 0.374
0.374 0.374 0.877
0.374 0.877 0.374
0.374 0.374 0.374
0.750 0.750 0.750
0.000 0.000 0.000
```

Its symmetry is No. 216. Its total energy is -2.4072 eV/atom.

***

[7]
The following is a PBE calculation of a relaxed structure of Mg2TlMo, from Alexandria via LeMat-Bulk.

```
Mg2TlMo
1.0
4.857 0.000 0.000
2.429 4.207 0.000
2.429 1.402 3.966
Mg Mo Tl
2 1 1
direct
0.000 0.000 0.000
0.250 0.250 0.250
0.500 0.500 0.500
0.750 0.750 0.750
```

Its symmetry is No. 216. Its total energy is -3.5757 eV/atom. The calculation puts the relative energy among the computed polymorphs at 239 meV per atom.

***

[8]
The following is a PBE calculation of a relaxed structure of Cs5PtBrO2, from Alexandria via LeMat-Bulk.

```
Cs5PtBrO2
1.0
-4.817 -0.729 -3.418
2.690 -4.489 -2.833
-3.670 -6.313 6.519
Cs Pt Br O
5 1 1 2
direct
0.000 0.000 0.500
0.000 0.500 0.791
0.500 0.000 0.209
0.000 0.500 0.209
0.500 0.000 0.791
0.000 0.000 0.000
0.500 0.500 0.500
0.000 0.000 0.211
0.000 0.000 0.789
```

Its symmetry is No. 123. Its total energy is -3.4513 eV/atom. As for the uncorrected formation energy: -1.0182 eV/atom.

***

What did the seventh record say?
The following is a PBE calculation of a relaxed structure of Mg2TlMo, from Alexandria via LeMat-Bulk.

```
Mg2TlMo
1.0
4.857 0.000 0.000
2.429 4.207 0.000
2.429 1.402 3.966
Mg Mo Tl
2 1 1
direct
0.000 0.000 0.000
0.250 0.250 0.250
0.500 0.500 0.500
0.750 0.750 0.750
```

Its symmetry is No. 216. Its total energy is -3.5757 eV/atom. The calculation puts the relative energy among the computed polymorphs at 239 meV per atom.